--- 1 ---
Computed, not measured: crystalline CdSbN2 at its relaxed geometry at the PBE level of DFT.

```
data_CdSbN2
_chemical_formula_sum 'Cd2 Sb2 N4'
_symmetry_space_group_name_H-M 'P 1'
_symmetry_Int_Tables_number 1
_cell_length_a 6.2758
_cell_length_b 6.2758
_cell_length_c 6.2758
_cell_angle_alpha 131.50
_cell_angle_beta 131.50
_cell_angle_gamma 71.03
loop_
_symmetry_equiv_pos_as_xyz
'x,y,z'
loop_
_atom_site_label
_atom_site_type_symbol
_atom_site_fract_x
_atom_site_fract_y
_atom_site_fract_z
Cd1 Cd 0.0000 0.0000 0.0000
Cd2 Cd 0.7500 0.2500 0.5000
Sb1 Sb 0.2500 0.7500 0.5000
Sb2 Sb 0.5000 0.5000 0.0000
N1 N 0.1595 0.6250 0.0345
N2 N 0.3750 0.4095 0.5345
N3 N 0.5905 0.1250 0.9655
N4 N 0.8750 0.8405 0.4655
```

Calculated values
- Volume: 16.97 A^3/atom
- Fermi-level density of states: 1.16 states/eV per cell



--- 2 ---
Computed, not measured: crystalline CdSbN2 at its relaxed geometry at the PBE level of DFT.

```
data_CdSbN2
_chemical_formula_sum 'Cd1 Sb1 N2'
_symmetry_space_group_name_H-M 'P 1'
_symmetry_Int_Tables_number 1
_cell_length_a 4.2641
_cell_length_b 4.2641
_cell_length_c 4.2641
_cell_angle_alpha 60.00
_cell_angle_beta 60.00
_cell_angle_gamma 60.00
loop_
_symmetry_equiv_pos_as_xyz
'x,y,z'
loop_
_atom_site_label
_atom_site_type_symbol
_atom_site_fract_x
_atom_site_fract_y
_atom_site_fract_z
Cd1 Cd 0.0000 0.0000 0.0000
Sb1 Sb 0.5000 0.5000 0.5000
N1 N 0.2500 0.2500 0.2500
N2 N 0.7500 0.7500 0.7500
```

Calculated values
- Volume: 13.71 A^3/atom
- Fermi-level density of states: 2.57 states/eV per cell



--- 3 ---
Computed, not measured: crystalline CdSbN2 at its relaxed geometry at the PBE level of DFT.

```
data_CdSbN2
_chemical_formula_sum 'Cd1 Sb1 N2'
_symmetry_space_group_name_H-M 'P 1'
_symmetry_Int_Tables_number 1
_cell_length_a 3.4039
_cell_length_b 4.5279
_cell_length_c 9.0486
_cell_angle_alpha 103.83
_cell_angle_beta 91.35
_cell_angle_gamma 90.66
loop_
_symmetry_equiv_pos_as_xyz
'x,y,z'
loop_
_atom_site_label
_atom_site_type_symbol
_atom_site_fract_x
_atom_site_fract_y
_atom_site_fract_z
Cd1 Cd 0.0000 0.0000 0.0000
Sb1 Sb 0.5068 0.5468 0.0981
N1 N 0.9665 0.4877 0.5237
N2 N 0.9698 0.6963 0.6186
```

Calculated values
- Volume: 33.84 A^3/atom
- Fermi-level density of states: 0.97 states/eV per cell



Which one sits at the top of the stability order? 3 does.



--- 1 ---
Computed, not measured: crystalline CdSbN2 at its relaxed geometry at the PBE level of DFT.

```
data_CdSbN2
_chemical_formula_sum 'Cd1 Sb1 N2'
_symmetry_space_group_name_H-M 'P 1'
_symmetry_Int_Tables_number 1
_cell_length_a 6.5399
_cell_length_b 6.5399
_cell_length_c 6.5399
_cell_angle_alpha 31.78
_cell_angle_beta 31.78
_cell_angle_gamma 31.78
loop_
_symmetry_equiv_pos_as_xyz
'x,y,z'
loop_
_atom_site_label
_atom_site_type_symbol
_atom_site_fract_x
_atom_site_fract_y
_atom_site_fract_z
Cd1 Cd 0.0000 0.0000 0.0000
Sb1 Sb 0.5000 0.5000 0.5000
N1 N 0.3942 0.3942 0.3942
N2 N 0.6058 0.6058 0.6058
```

Calculated values
- Volume: 17.23 A^3/atom
- Fermi-level density of states: 3.01 states/eV per cell



--- 2 ---
Computed, not measured: crystalline CdSbN2 at its relaxed geometry at the PBE level of DFT.

```
data_CdSbN2
_chemical_formula_sum 'Cd1 Sb1 N2'
_symmetry_space_group_name_H-M 'P 1'
_symmetry_Int_Tables_number 1
_cell_length_a 7.0713
_cell_length_b 7.0713
_cell_length_c 7.0713
_cell_angle_alpha 26.51
_cell_angle_beta 26.51
_cell_angle_gamma 26.51
loop_
_symmetry_equiv_pos_as_xyz
'x,y,z'
loop_
_atom_site_label
_atom_site_type_symbol
_atom_site_fract_x
_atom_site_fract_y
_atom_site_fract_z
Cd1 Cd 0.0000 0.0000 0.0000
Sb1 Sb 0.5000 0.5000 0.5000
N1 N 0.1131 0.1131 0.1131
N2 N 0.8869 0.8869 0.8869
```

Calculated values
- Volume: 15.52 A^3/atom
- Fermi-level density of states: 2.10 states/eV per cell



Which one sits at the top of the stability order? 2 does.



--- 1 ---
Computed, not measured: crystalline Cd3SbN at its relaxed geometry at the PBE level of DFT.

```
data_Cd3SbN
_chemical_formula_sum 'Cd3 Sb1 N1'
_symmetry_space_group_name_H-M 'P 1'
_symmetry_Int_Tables_number 1
_cell_length_a 4.6979
_cell_length_b 4.6979
_cell_length_c 4.6979
_cell_angle_alpha 90.00
_cell_angle_beta 90.00
_cell_angle_gamma 90.00
loop_
_symmetry_equiv_pos_as_xyz
'x,y,z'
loop_
_atom_site_label
_atom_site_type_symbol
_atom_site_fract_x
_atom_site_fract_y
_atom_site_fract_z
Cd1 Cd 0.0000 0.0000 0.5000
Cd2 Cd 0.0000 0.5000 0.0000
Cd3 Cd 0.5000 0.0000 0.0000
Sb1 Sb 0.5000 0.5000 0.5000
N1 N 0.0000 0.0000 0.0000
```

Calculated values
- Volume: 20.74 A^3/atom
- Fermi-level density of states: 0.61 states/eV per cell



--- 2 ---
Computed, not measured: crystalline Cd3SbN at its relaxed geometry at the PBE level of DFT.

```
data_Cd3SbN
_chemical_formula_sum 'Cd12 Sb4 N4'
_symmetry_space_group_name_H-M 'P 1'
_symmetry_Int_Tables_number 1
_cell_length_a 6.6406
_cell_length_b 9.3578
_cell_length_c 6.7283
_cell_angle_alpha 90.00
_cell_angle_beta 90.00
_cell_angle_gamma 90.00
loop_
_symmetry_equiv_pos_as_xyz
'x,y,z'
loop_
_atom_site_label
_atom_site_type_symbol
_atom_site_fract_x
_atom_site_fract_y
_atom_site_fract_z
Cd1 Cd 0.0123 0.2500 0.0727
Cd2 Cd 0.2297 0.0393 0.7285
Cd3 Cd 0.2297 0.4607 0.7285
Cd4 Cd 0.2703 0.5393 0.2285
Cd5 Cd 0.2703 0.9607 0.2285
Cd6 Cd 0.4877 0.7500 0.5727
Cd7 Cd 0.5123 0.2500 0.4273
Cd8 Cd 0.7297 0.0393 0.7715
Cd9 Cd 0.7297 0.4607 0.7715
Cd10 Cd 0.7703 0.5393 0.2715
Cd11 Cd 0.7703 0.9607 0.2715
Cd12 Cd 0.9877 0.7500 0.9273
Sb1 Sb 0.0212 0.7500 0.4946
Sb2 Sb 0.4788 0.2500 0.9946
Sb3 Sb 0.5212 0.7500 0.0054
Sb4 Sb 0.9788 0.2500 0.5054
N1 N 0.0000 0.0000 0.0000
N2 N 0.0000 0.5000 0.0000
N3 N 0.5000 0.0000 0.5000
N4 N 0.5000 0.5000 0.5000
```

Calculated values
- Volume: 20.91 A^3/atom
- Fermi-level density of states: 4.96 states/eV per cell



Which one sits at the top of the stability order? 2 does.